GGA-PBE BaAl3Au, relaxed; uncorrected energy = -37.43 eV for the cell shown; crystal system = orthorhombic
1.0
3.2534 -5.6134 0.0000
3.2534 5.6134 0.0000
0.0000 0.0000 6.3417
Al Au Ba
6 2 2
Direct
0.2355 0.2355 0.0000
0.7645 0.7645 0.0000
0.1449 0.8551 0.2500
0.2355 0.2355 0.5000
0.7645 0.7645 0.5000
0.8551 0.1449 0.7500
0.3841 0.6159 0.2500
0.6159 0.3841 0.7500
0.7426 0.2574 0.2500
0.2574 0.7426 0.7500